*A*
Compound: Er2BeCo2
Source: Alexandria
Functional: PBE
Structure: relaxed

abc: 9.387 5.212 6.955
angles: 90.00 103.28 90.00
Space group C2/c (No. 15)
Symmetry-distinct sites (fractional):
Er 0.147 0.136 0.148
Be 0.000 0.393 0.750
Co 0.130 0.368 0.508

* theoretical density: 9.3 g/cm3
* crystal system: monoclinic
* volume: 331.18 Å³/cell

*B*
Compound: Er2BeCo2
Source: Alexandria
Functional: PBE
Structure: relaxed

abc: 3.653 5.500 8.221
angles: 90.00 90.00 90.00
Space group Immm (No. 71)
Symmetry-distinct sites (fractional):
Er 0.000 0.000 0.197
Be 0.000 0.500 0.000
Co 0.000 0.240 0.500

* theoretical density: 9.3 g/cm3
* crystal system: orthorhombic
* volume: 165.16 Å³/cell

Relative energy table, unit eV/atom: *A* 0.021; *B* 0.000